Run one
This record from Alexandria describes a geometry-optimized Zn2FeCo2 structure. The functional is PBE.

As for the density of states at the Fermi level: 15.52 states/eV/f.u. The total magnetic moment comes out at 1.62 μB/f.u.

The space group is P4/mbm (No. 127) and the conventional cell measures 6.7723, 6.7723 and 2.6655 Å, with angles of 90.00, 90.00 and 90.00 degrees. The distinct sites, in fractional coordinates, are Zn at (0.1300, 0.3700, 0.0000), Fe at (0.0000, 0.0000, 0.0000) and Co at (0.1709, 0.6709, 0.5000).

***

Run two
This record from Alexandria describes a geometry-optimized Zn2FeCo2 structure. The functional is PBE.

As for the density of states at the Fermi level: 4.73 states/eV/f.u. The total magnetic moment comes out at 4.38 μB/f.u.

The space group is P4/mbm (No. 127) and the conventional cell measures 5.9872, 5.9872 and 3.6342 Å, with angles of 90.00, 90.00 and 90.00 degrees. The distinct sites, in fractional coordinates, are Zn at (0.1696, 0.3304, 0.0000), Fe at (0.0000, 0.0000, 0.5000) and Co at (0.1324, 0.6324, 0.5000).

***

Stability verdict: run two, ahead by 242 meV/atom